First-principles (PBEsol) data for crystalline CrReMo at its relaxed geometry, as listed in the Alexandria database.

Properties
Energy relative to the lowest polymorph listed for this composition ... 0.0 meV per atom
Space group ... I4mm (107)
E_tot ... -11.70 eV/atom
ρ ... 13.5 Mg/m³
Energy of formation from the pure elements ... 0.077 eV/atom

Cell lengths 5.0128, 5.0128, 5.0128 Å; angles 145.00, 145.00, 50.33 degrees
Positions (direct):
Cr: 0.0000 0.0000 0.0000
Re: 0.3375 0.3375 0.0000
Mo: 0.6602 0.6602 0.0000

First-principles (PBEsol) data for crystalline CrReMo at its relaxed geometry, as listed in the Alexandria database.

Properties
Energy relative to the lowest polymorph listed for this composition ... 791.8 meV per atom
Space group ... F-43m (216)
E_tot ... -10.91 eV/atom
ρ ... 11.1 Mg/m³
Energy of formation from the pure elements ... 0.869 eV/atom

Cell lengths 4.1321, 4.1321, 4.1321 Å; angles 60.00, 60.00, 60.00 degrees
Positions (direct):
Cr: 0.0000 0.0000 0.0000
Re: 0.2500 0.2500 0.2500
Mo: 0.5000 0.5000 0.5000

First-principles (PBEsol) data for crystalline CrReMo2 at its relaxed geometry, as listed in the Alexandria database.

Properties
Energy relative to the lowest polymorph listed for this composition ... 16.5 meV per atom
Space group ... Pmmm (47)
E_tot ... -11.70 eV/atom
ρ ... 12.6 Mg/m³
Energy of formation from the pure elements ... 0.079 eV/atom

Cell lengths 3.0538, 4.2951, 4.3204 Å; angles 90.00, 90.00, 90.00 degrees
Positions (direct):
Cr: 0.0000 0.0000 0.0000
Re: 0.5000 0.5000 0.0000
Mo: 0.0000 0.5000 0.5000
Mo: 0.5000 0.0000 0.5000

First-principles (PBEsol) data for crystalline CrRe2Mo at its relaxed geometry, as listed in the Alexandria database.

Properties
Energy relative to the lowest polymorph listed for this composition ... 4.6 meV per atom
Space group ... Imm2 (44)
E_tot ... -12.07 eV/atom
ρ ... 15.5 Mg/m³
Energy of formation from the pure elements ... 0.100 eV/atom

Cell lengths 5.0201, 5.0201, 5.0201 Å; angles 144.74, 129.28, 63.28 degrees
Positions (direct):
Cr: 0.0000 0.0000 0.0000
Re: 0.4901 0.4901 0.0000
Re: 0.7528 0.2528 0.5000
Mo: 0.2332 0.7332 0.5000

What are the DOS at the Fermi energy values for these records? In order: 3.1 3.4 3.8 3.5 states/eV/f.u..